No. 1
## BeGaFeAs (GGA-PBE)

Data for a geometry-optimized BeGaFeAs structure.

Values from the calculation:
volume	13.7	Å³ per atom
energy relative to the lowest polymorph listed for this composition	0.136	eV/atom
E	-0.3288	Ry per atom

Cell lengths 4.258, 4.258, 4.258 Å; angles 60.00, 60.00, 60.00 degrees
Atoms (fractional coordinates):
Be: 0.000 0.000 0.000
Ga: 0.750 0.750 0.750
Fe: 0.250 0.250 0.250
As: 0.500 0.500 0.500

---

No. 2
## SmTlCd (GGA-PBE)

Data for a geometry-optimized SmTlCd structure.

Values from the calculation:
volume	26.3	Å³ per atom
E	-0.2189	Ry per atom

Cell lengths 5.308, 5.308, 6.475 Å; angles 90.00, 90.00, 120.00 degrees
Atoms (fractional coordinates):
Sm: 0.333 0.667 0.250
Sm: 0.667 0.333 0.750
Tl: 0.333 0.667 0.750
Tl: 0.667 0.333 0.250
Cd: 0.000 0.000 0.000
Cd: 0.000 0.000 0.500

---

No. 3
## DyNiBi (GGA-PBE)

Data for a geometry-optimized DyNiBi structure.

Values from the calculation:
volume	21.7	Å³ per atom
E	-0.3802	Ry per atom

Cell lengths 7.153, 7.153, 4.416 Å; angles 90.00, 90.00, 120.00 degrees
Atoms (fractional coordinates):
Dy: 0.000 0.568 0.000
Dy: 0.432 0.432 0.000
Dy: 0.568 0.000 0.000
Ni: 0.000 0.245 0.500
Ni: 0.245 0.000 0.500
Ni: 0.755 0.755 0.500
Bi: 0.000 0.000 0.000
Bi: 0.333 0.667 0.500
Bi: 0.667 0.333 0.500